1.
# BaCr3S (PBE, optimized geometry)
# Raw total energy in Ha/atom: -0.234
# Spin magnetization in μB/cell: 7.75
# Formation energy (no corrections) in eV/atom: 0.6044
# Crystal system: cubic
data_BaCr3S
_cell_length_a 4.5819
_cell_length_b 4.5819
_cell_length_c 4.5819
_cell_angle_alpha 90.00
_cell_angle_beta 90.00
_cell_angle_gamma 90.00
_space_group_name_H-M_alt 'P m -3 m'
_space_group_IT_number 221
_space_group_name_Hall '-P 4 2 3'
loop_
_atom_site_label
_atom_site_fract_x
_atom_site_fract_y
_atom_site_fract_z
Ba1 0.0000 0.0000 0.0000
Cr1 0.0000 0.5000 0.5000
S1 0.5000 0.5000 0.5000



2.
# Zr2Zn2Ir (PBE, optimized geometry)
# Calculated formation energy in meV per atom: -386
# Raw total energy in Ha/atom: -0.224
# Spin magnetization in μB/cell: 0.00
# Crystal system: tetragonal
data_Zr2Zn2Ir
_cell_length_a 6.8232
_cell_length_b 6.8232
_cell_length_c 3.7541
_cell_angle_alpha 90.00
_cell_angle_beta 90.00
_cell_angle_gamma 90.00
_space_group_name_H-M_alt 'P 4/m b m'
_space_group_IT_number 127
_space_group_name_Hall '-P 4 2ab'
loop_
_atom_site_label
_atom_site_fract_x
_atom_site_fract_y
_atom_site_fract_z
Zr1 0.1761 0.3239 0.0000
Zn1 0.1266 0.6266 0.5000
Ir1 0.0000 0.0000 0.5000



3.
# GdZrPa2 (PBE, optimized geometry)
# Calculated formation energy in meV per atom: 221
# Raw total energy in Ha/atom: -0.374
# Spin magnetization in μB/cell: 6.73
# Crystal system: tetragonal
data_GdZrPa2
_cell_length_a 4.5223
_cell_length_b 4.5223
_cell_length_c 5.0297
_cell_angle_alpha 90.00
_cell_angle_beta 90.00
_cell_angle_gamma 90.00
_space_group_name_H-M_alt 'P 4/m m m'
_space_group_IT_number 123
_space_group_name_Hall '-P 4 2'
loop_
_atom_site_label
_atom_site_fract_x
_atom_site_fract_y
_atom_site_fract_z
Gd1 0.0000 0.0000 0.0000
Zr1 0.5000 0.5000 0.0000
Pa1 0.0000 0.5000 0.5000



Please write out number 1 again, unchanged.
# BaCr3S (PBE, optimized geometry)
# Raw total energy in Ha/atom: -0.234
# Spin magnetization in μB/cell: 7.75
# Formation energy (no corrections) in eV/atom: 0.6044
# Crystal system: cubic
data_BaCr3S
_cell_length_a 4.5819
_cell_length_b 4.5819
_cell_length_c 4.5819
_cell_angle_alpha 90.00
_cell_angle_beta 90.00
_cell_angle_gamma 90.00
_space_group_name_H-M_alt 'P m -3 m'
_space_group_IT_number 221
_space_group_name_Hall '-P 4 2 3'
loop_
_atom_site_label
_atom_site_fract_x
_atom_site_fract_y
_atom_site_fract_z
Ba1 0.0000 0.0000 0.0000
Cr1 0.0000 0.5000 0.5000
S1 0.5000 0.5000 0.5000